Entry 1:
Density functional theory data (PBE) for an optimized crystal structure of CuBNO2.

Properties
formation energy from raw total energies = 1700.5 meV per atom
space group = P4/mmm, No. 123
total DFT energy (no corrections) = -4.103 eV per atom
magnetization = 0.024 μB per atom
Fermi-level density of states = 4.79 states/eV/cell

Cell lengths 3.685, 3.685, 3.760 Å; angles 90.00, 90.00, 90.00 degrees
Element x y z (fractional)
Cu1 0.000 0.000 0.000
B1 0.500 0.500 0.500
N1 0.000 0.000 0.500
O1 0.000 0.500 0.000
O2 0.500 0.000 0.000


Entry 2:
Density functional theory data (PBE) for an optimized crystal structure of CuBN2O.

Properties
formation energy from raw total energies = 752.8 meV per atom
space group = P4/mmm, No. 123
total DFT energy (no corrections) = -5.724 eV per atom
magnetization = 0.000 μB per atom
Fermi-level density of states = 6.59 states/eV/cell

Cell lengths 2.943, 2.943, 6.009 Å; angles 90.00, 90.00, 90.00 degrees
Element x y z (fractional)
Cu1 0.000 0.000 0.000
B1 0.500 0.500 0.500
N1 0.000 0.500 0.500
N2 0.500 0.000 0.500
O1 0.500 0.500 0.000


Entry 3:
Density functional theory data (PBE) for an optimized crystal structure of CuBNO2.

Properties
formation energy from raw total energies = 376.7 meV per atom
space group = P4/mmm, No. 123
total DFT energy (no corrections) = -5.426 eV per atom
magnetization = 0.002 μB per atom
Fermi-level density of states = 5.20 states/eV/cell

Cell lengths 3.718, 3.718, 2.901 Å; angles 90.00, 90.00, 90.00 degrees
Element x y z (fractional)
Cu1 0.000 0.000 0.000
B1 0.500 0.500 0.500
N1 0.500 0.500 0.000
O1 0.000 0.500 0.500
O2 0.500 0.000 0.500


Entry 4:
Density functional theory data (PBE) for an optimized crystal structure of CuBN2O.

Properties
formation energy from raw total energies = 2279.4 meV per atom
space group = P4/mmm, No. 123
total DFT energy (no corrections) = -4.197 eV per atom
magnetization = 0.676 μB per atom
Fermi-level density of states = 1.90 states/eV/cell

Cell lengths 3.752, 3.752, 3.906 Å; angles 90.00, 90.00, 90.00 degrees
Element x y z (fractional)
Cu1 0.000 0.000 0.000
B1 0.500 0.500 0.500
N1 0.000 0.500 0.000
N2 0.500 0.000 0.000
O1 0.000 0.000 0.500